(1)
VASP calculation (PBE-GGA) on crystalline GdZrScAl at its relaxed geometry.

```
data_GdZrScAl
_chemical_formula_sum 'Gd4 Zr4 Sc4 Al4'
_symmetry_space_group_name_H-M 'P 1'
_symmetry_Int_Tables_number 1
_symmetry_space_group_name_Hall 'P 1'
_cell_length_a 7.1771
_cell_length_b 7.1771
_cell_length_c 7.1771
_cell_angle_alpha 90.00
_cell_angle_beta 90.00
_cell_angle_gamma 90.00
loop_
_atom_site_label
_atom_site_type_symbol
_atom_site_fract_x
_atom_site_fract_y
_atom_site_fract_z
Gd1 Gd 0.0000 0.0000 0.0000
Gd2 Gd 0.0000 0.5000 0.5000
Gd3 Gd 0.5000 0.0000 0.5000
Gd4 Gd 0.5000 0.5000 0.0000
Zr1 Zr 0.0000 0.0000 0.5000
Zr2 Zr 0.0000 0.5000 0.0000
Zr3 Zr 0.5000 0.0000 0.0000
Zr4 Zr 0.5000 0.5000 0.5000
Sc1 Sc 0.2500 0.2500 0.7500
Sc2 Sc 0.2500 0.7500 0.2500
Sc3 Sc 0.7500 0.2500 0.2500
Sc4 Sc 0.7500 0.7500 0.7500
Al1 Al 0.2500 0.2500 0.2500
Al2 Al 0.2500 0.7500 0.7500
Al3 Al 0.7500 0.2500 0.7500
Al4 Al 0.7500 0.7500 0.2500
```

- Mass density: 5.757 Mg/m³
- Symmetry: F-43m
- Calculated formation energy: -1.8 kcal/mol of atoms


(2)
VASP calculation (PBE-GGA) on crystalline Gd2AlSe at its relaxed geometry.

```
data_Gd2AlSe
_chemical_formula_sum 'Gd6 Al3 Se3'
_symmetry_space_group_name_H-M 'P 1'
_symmetry_Int_Tables_number 1
_symmetry_space_group_name_Hall 'P 1'
_cell_length_a 3.9645
_cell_length_b 3.9645
_cell_length_c 22.9912
_cell_angle_alpha 90.00
_cell_angle_beta 90.00
_cell_angle_gamma 120.00
loop_
_atom_site_label
_atom_site_type_symbol
_atom_site_fract_x
_atom_site_fract_y
_atom_site_fract_z
Gd1 Gd 0.0000 0.0000 0.2455
Gd2 Gd 0.0000 0.0000 0.7545
Gd3 Gd 0.3333 0.6667 0.4212
Gd4 Gd 0.3333 0.6667 0.9122
Gd5 Gd 0.6667 0.3333 0.0878
Gd6 Gd 0.6667 0.3333 0.5788
Al1 Al 0.0000 0.0000 0.0000
Al2 Al 0.3333 0.6667 0.6667
Al3 Al 0.6667 0.3333 0.3333
Se1 Se 0.0000 0.0000 0.5000
Se2 Se 0.3333 0.6667 0.1667
Se3 Se 0.6667 0.3333 0.8333
```

- Formation energy without anion corrections: -1.01 eV per atom
- Mass density: 6.693 Mg/m³
- Symmetry: R-3m


(3)
VASP calculation (PBE-GGA) on crystalline Gd3Al5Se12 at its relaxed geometry.

```
data_Gd3Al5Se12
_chemical_formula_sum 'Gd12 Al20 Se48'
_symmetry_space_group_name_H-M 'P 1'
_symmetry_Int_Tables_number 1
_symmetry_space_group_name_Hall 'P 1'
_cell_length_a 13.6937
_cell_length_b 13.6937
_cell_length_c 13.6937
_cell_angle_alpha 109.47
_cell_angle_beta 109.47
_cell_angle_gamma 109.47
loop_
_atom_site_label
_atom_site_type_symbol
_atom_site_fract_x
_atom_site_fract_y
_atom_site_fract_z
Gd1 Gd 0.1250 0.2500 0.3750
Gd2 Gd 0.1250 0.3750 0.7500
Gd3 Gd 0.2500 0.3750 0.1250
Gd4 Gd 0.2500 0.8750 0.6250
Gd5 Gd 0.3750 0.1250 0.2500
Gd6 Gd 0.3750 0.7500 0.1250
Gd7 Gd 0.6250 0.2500 0.8750
Gd8 Gd 0.6250 0.8750 0.7500
Gd9 Gd 0.7500 0.1250 0.3750
Gd10 Gd 0.7500 0.6250 0.8750
Gd11 Gd 0.8750 0.6250 0.2500
Gd12 Gd 0.8750 0.7500 0.6250
Al1 Al 0.0000 0.0000 0.0000
Al2 Al 0.0000 0.0000 0.5000
Al3 Al 0.0000 0.5000 0.0000
Al4 Al 0.0000 0.5000 0.5000
Al5 Al 0.1250 0.7500 0.8750
Al6 Al 0.1250 0.8750 0.2500
Al7 Al 0.2500 0.1250 0.8750
Al8 Al 0.2500 0.6250 0.3750
Al9 Al 0.3750 0.2500 0.6250
Al10 Al 0.3750 0.6250 0.7500
Al11 Al 0.5000 0.0000 0.0000
Al12 Al 0.5000 0.0000 0.5000
Al13 Al 0.5000 0.5000 0.0000
Al14 Al 0.5000 0.5000 0.5000
Al15 Al 0.6250 0.3750 0.2500
Al16 Al 0.6250 0.7500 0.3750
Al17 Al 0.7500 0.3750 0.6250
Al18 Al 0.7500 0.8750 0.1250
Al19 Al 0.8750 0.1250 0.7500
Al20 Al 0.8750 0.2500 0.1250
Se1 Se 0.0311 0.2076 0.1217
Se2 Se 0.0311 0.3234 0.9093
Se3 Se 0.0859 0.7076 0.6766
Se4 Se 0.0859 0.8783 0.4093
Se5 Se 0.0907 0.6217 0.4141
Se6 Se 0.0907 0.9689 0.6766
Se7 Se 0.1217 0.0311 0.2076
Se8 Se 0.1217 0.5907 0.9141
Se9 Se 0.1766 0.2076 0.5859
Se10 Se 0.1766 0.4689 0.5907
Se11 Se 0.2076 0.1217 0.0311
Se12 Se 0.2076 0.5859 0.1766
Se13 Se 0.2924 0.3234 0.9141
Se14 Se 0.2924 0.4689 0.3783
Se15 Se 0.3234 0.9093 0.0311
Se16 Se 0.3234 0.9141 0.2924
Se17 Se 0.3783 0.2924 0.4689
Se18 Se 0.3783 0.5859 0.9093
Se19 Se 0.4093 0.0859 0.8783
Se20 Se 0.4093 0.8234 0.5311
Se21 Se 0.4141 0.0907 0.6217
Se22 Se 0.4141 0.8234 0.7924
Se23 Se 0.4689 0.3783 0.2924
Se24 Se 0.4689 0.5907 0.1766
Se25 Se 0.5311 0.4093 0.8234
Se26 Se 0.5311 0.6217 0.7076
Se27 Se 0.5859 0.1766 0.2076
Se28 Se 0.5859 0.9093 0.3783
Se29 Se 0.5907 0.1766 0.4689
Se30 Se 0.5907 0.9141 0.1217
Se31 Se 0.6217 0.4141 0.0907
Se32 Se 0.6217 0.7076 0.5311
Se33 Se 0.6766 0.0859 0.7076
Se34 Se 0.6766 0.0907 0.9689
Se35 Se 0.7076 0.5311 0.6217
Se36 Se 0.7076 0.6766 0.0859
Se37 Se 0.7924 0.4141 0.8234
Se38 Se 0.7924 0.8783 0.9689
Se39 Se 0.8234 0.5311 0.4093
Se40 Se 0.8234 0.7924 0.4141
Se41 Se 0.8783 0.4093 0.0859
Se42 Se 0.8783 0.9689 0.7924
Se43 Se 0.9093 0.0311 0.3234
Se44 Se 0.9093 0.3783 0.5859
Se45 Se 0.9141 0.1217 0.5907
Se46 Se 0.9141 0.2924 0.3234
Se47 Se 0.9689 0.6766 0.0907
Se48 Se 0.9689 0.7924 0.8783
```

- Formation energy without anion corrections: -1.23 eV per atom
- Mass density: 5.222 Mg/m³
- Symmetry: Ia-3d


(4)
VASP calculation (PBE-GGA) on crystalline Gd5Al12Si3 at its relaxed geometry.

```
data_Gd5Al12Si3
_chemical_formula_sum 'Gd20 Al48 Si12'
_symmetry_space_group_name_H-M 'P 1'
_symmetry_Int_Tables_number 1
_symmetry_space_group_name_Hall 'P 1'
_cell_length_a 14.2299
_cell_length_b 14.2299
_cell_length_c 14.2299
_cell_angle_alpha 109.47
_cell_angle_beta 109.47
_cell_angle_gamma 109.47
loop_
_atom_site_label
_atom_site_type_symbol
_atom_site_fract_x
_atom_site_fract_y
_atom_site_fract_z
Gd1 Gd 0.0000 0.0000 0.0000
Gd2 Gd 0.0000 0.0000 0.5000
Gd3 Gd 0.0000 0.5000 0.0000
Gd4 Gd 0.0000 0.5000 0.5000
Gd5 Gd 0.1250 0.7500 0.8750
Gd6 Gd 0.1250 0.8750 0.2500
Gd7 Gd 0.2500 0.1250 0.8750
Gd8 Gd 0.2500 0.6250 0.3750
Gd9 Gd 0.3750 0.2500 0.6250
Gd10 Gd 0.3750 0.6250 0.7500
Gd11 Gd 0.5000 0.0000 0.0000
Gd12 Gd 0.5000 0.0000 0.5000
Gd13 Gd 0.5000 0.5000 0.0000
Gd14 Gd 0.5000 0.5000 0.5000
Gd15 Gd 0.6250 0.3750 0.2500
Gd16 Gd 0.6250 0.7500 0.3750
Gd17 Gd 0.7500 0.3750 0.6250
Gd18 Gd 0.7500 0.8750 0.1250
Gd19 Gd 0.8750 0.1250 0.7500
Gd20 Gd 0.8750 0.2500 0.1250
Al1 Al 0.0462 0.6419 0.3971
Al2 Al 0.0462 0.9043 0.6491
Al3 Al 0.0957 0.2448 0.1419
Al4 Al 0.0957 0.3509 0.9538
Al5 Al 0.1029 0.7448 0.6491
Al6 Al 0.1029 0.8581 0.4538
Al7 Al 0.1419 0.0957 0.2448
Al8 Al 0.1419 0.5462 0.8971
Al9 Al 0.1491 0.2448 0.6029
Al10 Al 0.1491 0.4043 0.5462
Al11 Al 0.2448 0.1419 0.0957
Al12 Al 0.2448 0.6029 0.1491
Al13 Al 0.2552 0.3509 0.8971
Al14 Al 0.2552 0.4043 0.3581
Al15 Al 0.3509 0.8971 0.2552
Al16 Al 0.3509 0.9538 0.0957
Al17 Al 0.3581 0.2552 0.4043
Al18 Al 0.3581 0.6029 0.9538
Al19 Al 0.3971 0.0462 0.6419
Al20 Al 0.3971 0.8509 0.7552
Al21 Al 0.4043 0.3581 0.2552
Al22 Al 0.4043 0.5462 0.1491
Al23 Al 0.4538 0.1029 0.8581
Al24 Al 0.4538 0.8509 0.5957
Al25 Al 0.5462 0.1491 0.4043
Al26 Al 0.5462 0.8971 0.1419
Al27 Al 0.5957 0.4538 0.8509
Al28 Al 0.5957 0.6419 0.7448
Al29 Al 0.6029 0.1491 0.2448
Al30 Al 0.6029 0.9538 0.3581
Al31 Al 0.6419 0.3971 0.0462
Al32 Al 0.6419 0.7448 0.5957
Al33 Al 0.6491 0.0462 0.9043
Al34 Al 0.6491 0.1029 0.7448
Al35 Al 0.7448 0.5957 0.6419
Al36 Al 0.7448 0.6491 0.1029
Al37 Al 0.7552 0.3971 0.8509
Al38 Al 0.7552 0.8581 0.9043
Al39 Al 0.8509 0.5957 0.4538
Al40 Al 0.8509 0.7552 0.3971
Al41 Al 0.8581 0.4538 0.1029
Al42 Al 0.8581 0.9043 0.7552
Al43 Al 0.8971 0.1419 0.5462
Al44 Al 0.8971 0.2552 0.3509
Al45 Al 0.9043 0.6491 0.0462
Al46 Al 0.9043 0.7552 0.8581
Al47 Al 0.9538 0.0957 0.3509
Al48 Al 0.9538 0.3581 0.6029
Si1 Si 0.1250 0.2500 0.3750
Si2 Si 0.1250 0.3750 0.7500
Si3 Si 0.2500 0.3750 0.1250
Si4 Si 0.2500 0.8750 0.6250
Si5 Si 0.3750 0.1250 0.2500
Si6 Si 0.3750 0.7500 0.1250
Si7 Si 0.6250 0.2500 0.8750
Si8 Si 0.6250 0.8750 0.7500
Si9 Si 0.7500 0.1250 0.3750
Si10 Si 0.7500 0.6250 0.8750
Si11 Si 0.8750 0.6250 0.2500
Si12 Si 0.8750 0.7500 0.6250
```

- Formation energy without anion corrections: 0.40 eV per atom
- Mass density: 3.576 Mg/m³
- Symmetry: Ia-3d


(5)
VASP calculation (PBE-GGA) on crystalline SmGdAl at its relaxed geometry.

```
data_SmGdAl
_chemical_formula_sum 'Sm1 Gd1 Al1'
_symmetry_space_group_name_H-M 'P 1'
_symmetry_Int_Tables_number 1
_symmetry_space_group_name_Hall 'P 1'
_cell_length_a 5.1129
_cell_length_b 5.1129
_cell_length_c 3.6010
_cell_angle_alpha 90.00
_cell_angle_beta 90.00
_cell_angle_gamma 120.00
loop_
_atom_site_label
_atom_site_type_symbol
_atom_site_fract_x
_atom_site_fract_y
_atom_site_fract_z
Sm1 Sm 0.0000 0.0000 0.0000
Gd1 Gd 0.6667 0.3333 0.4244
Al1 Al 0.3333 0.6667 0.6995
```

- Mass density: 6.815 Mg/m³
- Symmetry: P3m1
- Calculated formation energy: -3.4 kcal/mol of atoms
- Energy relative to the lowest polymorph listed for this composition: 78 meV per atom


(6)
VASP calculation (PBE-GGA) on crystalline SmGd2Al at its relaxed geometry.

```
data_SmGd2Al
_chemical_formula_sum 'Sm4 Gd8 Al4'
_symmetry_space_group_name_H-M 'P 1'
_symmetry_Int_Tables_number 1
_symmetry_space_group_name_Hall 'P 1'
_cell_length_a 7.6436
_cell_length_b 7.6436
_cell_length_c 7.6436
_cell_angle_alpha 90.00
_cell_angle_beta 90.00
_cell_angle_gamma 90.00
loop_
_atom_site_label
_atom_site_type_symbol
_atom_site_fract_x
_atom_site_fract_y
_atom_site_fract_z
Sm1 Sm 0.0000 0.0000 0.0000
Sm2 Sm 0.0000 0.5000 0.5000
Sm3 Sm 0.5000 0.0000 0.5000
Sm4 Sm 0.5000 0.5000 0.0000
Gd1 Gd 0.2500 0.2500 0.2500
Gd2 Gd 0.2500 0.2500 0.7500
Gd3 Gd 0.2500 0.7500 0.2500
Gd4 Gd 0.2500 0.7500 0.7500
Gd5 Gd 0.7500 0.2500 0.2500
Gd6 Gd 0.7500 0.2500 0.7500
Gd7 Gd 0.7500 0.7500 0.2500
Gd8 Gd 0.7500 0.7500 0.7500
Al1 Al 0.0000 0.0000 0.5000
Al2 Al 0.0000 0.5000 0.0000
Al3 Al 0.5000 0.0000 0.0000
Al4 Al 0.5000 0.5000 0.5000
```

- Mass density: 7.316 Mg/m³
- Symmetry: Fm-3m
- Calculated formation energy: -1.2 kcal/mol of atoms
- Energy relative to the lowest polymorph listed for this composition: 142 meV per atom


(7)
VASP calculation (PBE-GGA) on crystalline SmGdAl2 at its relaxed geometry.

```
data_SmGdAl2
_chemical_formula_sum 'Sm1 Gd1 Al2'
_symmetry_space_group_name_H-M 'P 1'
_symmetry_Int_Tables_number 1
_symmetry_space_group_name_Hall 'P 1'
_cell_length_a 3.6529
_cell_length_b 3.6529
_cell_length_c 7.3193
_cell_angle_alpha 90.00
_cell_angle_beta 90.00
_cell_angle_gamma 90.00
loop_
_atom_site_label
_atom_site_type_symbol
_atom_site_fract_x
_atom_site_fract_y
_atom_site_fract_z
Sm1 Sm 0.0000 0.0000 0.0000
Gd1 Gd 0.0000 0.0000 0.5000
Al1 Al 0.5000 0.5000 0.2544
Al2 Al 0.5000 0.5000 0.7456
```

- Mass density: 6.147 Mg/m³
- Symmetry: P4/mmm
- Calculated formation energy: -8.9 kcal/mol of atoms
- Energy relative to the lowest polymorph listed for this composition: 0 meV per atom


(8)
VASP calculation (PBE-GGA) on crystalline SmGdAl at its relaxed geometry.

```
data_SmGdAl
_chemical_formula_sum 'Sm4 Gd4 Al4'
_symmetry_space_group_name_H-M 'P 1'
_symmetry_Int_Tables_number 1
_symmetry_space_group_name_Hall 'P 1'
_cell_length_a 7.2370
_cell_length_b 7.2370
_cell_length_c 7.2370
_cell_angle_alpha 90.00
_cell_angle_beta 90.00
_cell_angle_gamma 90.00
loop_
_atom_site_label
_atom_site_type_symbol
_atom_site_fract_x
_atom_site_fract_y
_atom_site_fract_z
Sm1 Sm 0.0000 0.0000 0.0000
Sm2 Sm 0.0000 0.5000 0.5000
Sm3 Sm 0.5000 0.0000 0.5000
Sm4 Sm 0.5000 0.5000 0.0000
Gd1 Gd 0.0000 0.0000 0.5000
Gd2 Gd 0.0000 0.5000 0.0000
Gd3 Gd 0.5000 0.0000 0.0000
Gd4 Gd 0.5000 0.5000 0.5000
Al1 Al 0.2500 0.2500 0.7500
Al2 Al 0.2500 0.7500 0.2500
Al3 Al 0.7500 0.2500 0.2500
Al4 Al 0.7500 0.7500 0.7500
```

- Mass density: 5.863 Mg/m³
- Symmetry: F-43m
- Calculated formation energy: -1.0 kcal/mol of atoms
- Energy relative to the lowest polymorph listed for this composition: 182 meV per atom


(9)
VASP calculation (PBE-GGA) on crystalline SmGdAl at its relaxed geometry.

```
data_SmGdAl
_chemical_formula_sum 'Sm2 Gd2 Al2'
_symmetry_space_group_name_H-M 'P 1'
_symmetry_Int_Tables_number 1
_symmetry_space_group_name_Hall 'P 1'
_cell_length_a 3.6578
_cell_length_b 3.6578
_cell_length_c 12.5024
_cell_angle_alpha 90.00
_cell_angle_beta 90.00
_cell_angle_gamma 90.00
loop_
_atom_site_label
_atom_site_type_symbol
_atom_site_fract_x
_atom_site_fract_y
_atom_site_fract_z
Sm1 Sm 0.0000 0.0000 0.0000
Sm2 Sm 0.5000 0.5000 0.5000
Gd1 Gd 0.0000 0.0000 0.2959
Gd2 Gd 0.5000 0.5000 0.7959
Al1 Al 0.0000 0.0000 0.6496
Al2 Al 0.5000 0.5000 0.1496
```

- Mass density: 6.643 Mg/m³
- Symmetry: I4mm
- Calculated formation energy: -5.2 kcal/mol of atoms
- Energy relative to the lowest polymorph listed for this composition: 0 meV per atom


(10)
VASP calculation (PBE-GGA) on crystalline SmGdAl4 at its relaxed geometry.

```
data_SmGdAl4
_chemical_formula_sum 'Sm1 Gd1 Al4'
_symmetry_space_group_name_H-M 'P 1'
_symmetry_Int_Tables_number 1
_symmetry_space_group_name_Hall 'P 1'
_cell_length_a 5.6159
_cell_length_b 5.6159
_cell_length_c 5.6159
_cell_angle_alpha 60.00
_cell_angle_beta 60.00
_cell_angle_gamma 60.00
loop_
_atom_site_label
_atom_site_type_symbol
_atom_site_fract_x
_atom_site_fract_y
_atom_site_fract_z
Sm1 Sm 0.0000 0.0000 0.0000
Gd1 Gd 0.7500 0.7500 0.7500
Al1 Al 0.3751 0.3751 0.3751
Al2 Al 0.3751 0.3751 0.8746
Al3 Al 0.3751 0.8746 0.3751
Al4 Al 0.8746 0.3751 0.3751
```

- Mass density: 5.509 Mg/m³
- Symmetry: F-43m
- Calculated formation energy: -12.0 kcal/mol of atoms